{"formula": "K2CoSe2O6", "functional": "PBE with a Hubbard U", "state": "optimized geometry", "lattice_angstrom": [[3.388, -0.542, -4.330], [-4.758, -2.804, 0.153], [-5.539, 3.886, -1.296]], "species": ["Co", "O", "O", "K", "O", "O", "Se", "O", "Se", "O", "K"], "fractional_positions": [[0.000, 0.000, 0.000], [0.245, 0.266, 0.225], [0.734, 0.755, 0.225], [0.194, 0.806, 0.583], [0.266, 0.245, 0.775], [0.755, 0.245, 0.775], [0.632, 0.368, 0.896], [0.245, 0.755, 0.225], [0.368, 0.632, 0.104], [0.755, 0.734, 0.775], [0.806, 0.194, 0.417]], "final_energy_ev_per_atom": -5.176, "density_kg_m3": 4023, "space_group": "No. 166", "total_magnetization_mub_per_atom": 0.27}